# CdCo4C2S

Crystalline CdCo4C2S at its relaxed geometry (PBE, OQMD).

Structure (CIF):
```
data_CdCo4C2S
_chemical_formula_sum 'Cd1 Co4 C2 S1'
_symmetry_space_group_name_H-M 'P -6 m 2'
_symmetry_Int_Tables_number 187
_symmetry_space_group_name_Hall 'P -6 2'
_cell_length_a 2.9868
_cell_length_b 2.9868
_cell_length_c 11.4734
_cell_angle_alpha 90.00
_cell_angle_beta 90.00
_cell_angle_gamma 120.00
loop_
_atom_site_label
_atom_site_type_symbol
_atom_site_fract_x
_atom_site_fract_y
_atom_site_fract_z
_atom_site_occupancy
Cd1 Cd 0.0000 0.0000 0.0000 1
Co1 Co 0.0000 0.0000 0.3569 1
Co2 Co 0.6667 0.3333 0.1982 1
C1 C 0.3333 0.6667 0.2675 1
S1 S 0.6667 0.3333 0.5000 1
```

Electronic total energy ... -0.464 Ry per atom